# 1
VASP calculation (PBE) on crystalline Sr3PmGe4 at its relaxed geometry.

Unit cell a=4.5573 b=6.6398 c=9.4021 alpha=110.66 beta=104.03 gamma=90.00
Atoms (fractional coordinates):
1 Ge 0.3760 0.5573 0.7520
2 Ge 0.6240 0.4427 0.2480
3 Ge 0.6239 0.8050 0.2479
4 Ge 0.3761 0.1950 0.7521
5 Sr 0.0000 0.5000 0.0000
6 Sr 0.8067 0.8068 0.6134
7 Sr 0.1933 0.1932 0.3866
8 Pm 0.5000 0.0000 0.0000

***

# 2
VASP calculation (PBE) on crystalline SrPmGe3 at its relaxed geometry.

Unit cell a=4.1324 b=4.5440 c=13.8456 alpha=99.44 beta=90.00 gamma=90.00
Atoms (fractional coordinates):
1 Pm 0.7500 0.2022 0.4044
2 Pm 0.2500 0.7978 0.5956
3 Ge 0.7500 0.6260 0.2521
4 Ge 0.7500 0.5265 0.0530
5 Ge 0.2500 0.3740 0.7479
6 Ge 0.2500 0.6868 0.3736
7 Ge 0.7500 0.3132 0.6264
8 Ge 0.2500 0.4735 0.9470
9 Sr 0.7500 0.9251 0.8502
10 Sr 0.2500 0.0749 0.1498

***

# 3
VASP calculation (PBE) on crystalline Sr2Pm3Ge4 at its relaxed geometry.

Unit cell a=7.2996 b=8.6232 c=9.1439 alpha=90.00 beta=113.53 gamma=90.00
Atoms (fractional coordinates):
1 Pm 0.0000 0.0000 0.0000
2 Pm 0.4585 0.2500 0.4169
3 Pm 0.5000 0.5000 0.0000
4 Pm 0.0415 0.7500 0.5831
5 Pm 0.9585 0.2500 0.4169
6 Pm 0.5415 0.7500 0.5831
7 Sr 0.6074 0.9111 0.2149
8 Sr 0.8926 0.4111 0.7851
9 Sr 0.3926 0.0889 0.7851
10 Sr 0.1074 0.5889 0.2149
11 Ge 0.3065 0.4557 0.6131
12 Ge 0.8065 0.0443 0.6131
13 Ge 0.7848 0.2500 0.0696
14 Ge 0.2152 0.7500 0.9304
15 Ge 0.6935 0.5443 0.3869
16 Ge 0.2848 0.2500 0.0696
17 Ge 0.7152 0.7500 0.9304
18 Ge 0.1935 0.9557 0.3869

***

# 4
VASP calculation (PBE) on crystalline SrPmGe4 at its relaxed geometry.

Summary:
**Energy above the lowest structure with this stoichiometry**: 127 meV/atom

Unit cell a=5.7985 b=5.7985 c=5.7985 alpha=60.00 beta=60.00 gamma=60.00
Atoms (fractional coordinates):
1 Sr 0.0000 0.0000 0.0000
2 Ge 0.6226 0.6226 0.6226
3 Ge 0.6226 0.6226 0.1321
4 Ge 0.1321 0.6226 0.6226
5 Ge 0.6226 0.1321 0.6226
6 Pm 0.2500 0.2500 0.2500

***

# 5
VASP calculation (PBE) on crystalline SrPmGe2 at its relaxed geometry.

Unit cell a=3.6315 b=5.7862 c=5.7862 alpha=104.79 beta=90.00 gamma=90.00
Atoms (fractional coordinates):
1 Pm 0.5000 0.5967 0.4033
2 Sr 0.0000 0.0163 0.9837
3 Ge 0.5000 0.1186 0.5165
4 Ge 0.5000 0.4835 0.8814

***

# 6
VASP calculation (PBE) on crystalline SrPm12Ge6 at its relaxed geometry.

Unit cell a=8.7827 b=8.7827 c=8.7827 alpha=103.33 beta=103.33 gamma=103.33
Atoms (fractional coordinates):
1 Ge 0.7583 0.3169 0.7583
2 Ge 0.2417 0.2417 0.6831
3 Ge 0.7583 0.7583 0.3169
4 Ge 0.6831 0.2417 0.2417
5 Ge 0.3169 0.7583 0.7583
6 Ge 0.2417 0.6831 0.2417
7 Pm 0.4537 0.1810 0.4537
8 Pm 0.8190 0.5463 0.5463
9 Pm 0.5463 0.5463 0.8190
10 Pm 0.1290 0.8710 0.5000
11 Pm 0.5000 0.1290 0.8710
12 Pm 0.8710 0.5000 0.1290
13 Pm 0.1290 0.5000 0.8710
14 Pm 0.5000 0.8710 0.1290
15 Pm 0.5463 0.8190 0.5463
16 Pm 0.1810 0.4537 0.4537
17 Pm 0.4537 0.4537 0.1810
18 Pm 0.8710 0.1290 0.5000
19 Sr 0.0000 0.0000 0.0000

***

| no. | formation energy (meV/atom) |
| --- | --- |
| 1 | -460 |
| 2 | -621 |
| 3 | -596 |
| 4 | -349 |
| 5 | -382 |
| 6 | -483 |